[1]
# Cr2AgP (GGA-PBE, optimized geometry)
# - Space group: No. 160
# - Theoretical density: 7.12 Mg/m³
# - Energy of formation: 1.1 eV per formula unit
data_Cr2AgP
_chemical_formula_sum 'Cr2 Ag1 P1'
_cell_length_a 8.5289
_cell_length_b 8.5289
_cell_length_c 8.5289
_cell_angle_alpha 18.86
_cell_angle_beta 18.86
_cell_angle_gamma 18.86
_space_group_name_H-M_alt 'P 1'
_space_group_IT_number 1
loop_
_space_group_symop_operation_xyz
'x,y,z'
loop_
_atom_site_label
_atom_site_type_symbol
_atom_site_fract_x
_atom_site_fract_y
_atom_site_fract_z
P1 P 0.5151 0.5151 0.5151
Cr1 Cr 0.2505 0.2505 0.2505
Cr2 Cr 0.9867 0.9867 0.9867
Ag1 Ag 0.7478 0.7478 0.7478

[2]
# MnZn4Co (GGA-PBE, optimized geometry)
# - Space group: No. 11
# - Theoretical density: 6.86 Mg/m³
# - Energy of formation: 1.2 eV per formula unit
data_MnZn4Co
_chemical_formula_sum 'Mn2 Zn8 Co2'
_cell_length_a 4.3414
_cell_length_b 6.6644
_cell_length_c 6.6610
_cell_angle_alpha 90.00
_cell_angle_beta 90.00
_cell_angle_gamma 109.37
_space_group_name_H-M_alt 'P 1'
_space_group_IT_number 1
loop_
_space_group_symop_operation_xyz
'x,y,z'
loop_
_atom_site_label
_atom_site_type_symbol
_atom_site_fract_x
_atom_site_fract_y
_atom_site_fract_z
Zn1 Zn 0.4190 0.0906 0.7500
Zn2 Zn 0.3812 0.5089 0.2500
Zn3 Zn 0.0301 0.3018 0.5662
Zn4 Zn 0.5810 0.9094 0.2500
Zn5 Zn 0.6188 0.4911 0.7500
Co1 Co 0.2296 0.6933 0.7500
Zn6 Zn 0.9699 0.6982 0.0662
Mn1 Mn 0.8189 0.8951 0.7500
Mn2 Mn 0.1811 0.1049 0.2500
Zn7 Zn 0.9699 0.6982 0.4338
Co2 Co 0.7704 0.3067 0.2500
Zn8 Zn 0.0301 0.3018 0.9338

[3]
# Rb3Na4Tl2 (GGA-PBE, optimized geometry)
# - Space group: No. 15
# - Theoretical density: 2.88 Mg/m³
# - Energy of formation: -0.1 eV per formula unit
data_Rb3Na4Tl2
_chemical_formula_sum 'Rb6 Na8 Tl4'
_cell_length_a 9.1776
_cell_length_b 12.3483
_cell_length_c 10.1723
_cell_angle_alpha 52.63
_cell_angle_beta 76.17
_cell_angle_gamma 90.00
_space_group_name_H-M_alt 'P 1'
_space_group_IT_number 1
loop_
_space_group_symop_operation_xyz
'x,y,z'
loop_
_atom_site_label
_atom_site_type_symbol
_atom_site_fract_x
_atom_site_fract_y
_atom_site_fract_z
Na1 Na 0.6768 0.3890 0.7674
Tl1 Tl 0.5693 0.4031 0.4699
Na2 Na 0.9353 0.3963 0.3992
Na3 Na 0.4353 0.2045 0.3993
Na4 Na 0.8232 0.1564 0.2326
Rb1 Rb 0.8483 0.7828 0.2383
Na5 Na 0.0647 0.6037 0.6008
Rb2 Rb 0.7500 0.5669 0.0000
Tl2 Tl 0.9307 0.8729 0.5301
Rb3 Rb 0.6517 0.0211 0.7617
Tl3 Tl 0.4307 0.5969 0.5301
Tl4 Tl 0.0693 0.1271 0.4699
Na6 Na 0.3232 0.6110 0.2326
Rb4 Rb 0.1517 0.2172 0.7617
Rb5 Rb 0.3483 0.9789 0.2383
Rb6 Rb 0.2500 0.4331 0.0000
Na7 Na 0.5647 0.7955 0.6007
Na8 Na 0.1768 0.8436 0.7674

[4]
# BaBe2SeO2 (GGA-PBE, optimized geometry)
# - Space group: No. 11
# - Raw formation energy: -13.04 eV per formula unit
# - Theoretical density: 4.43 Mg/m³
data_BaBe2SeO2
_chemical_formula_sum 'Ba2 Be4 Se2 O4'
_cell_length_a 4.6713
_cell_length_b 6.2101
_cell_length_c 7.2802
_cell_angle_alpha 109.01
_cell_angle_beta 90.00
_cell_angle_gamma 90.00
_space_group_name_H-M_alt 'P 1'
_space_group_IT_number 1
loop_
_space_group_symop_operation_xyz
'x,y,z'
loop_
_atom_site_label
_atom_site_type_symbol
_atom_site_fract_x
_atom_site_fract_y
_atom_site_fract_z
O1 O 0.7500 0.8811 0.6530
Be1 Be 0.9974 0.1434 0.2168
Se1 Se 0.7500 0.7970 0.0574
Be2 Be 0.4974 0.8566 0.7832
O2 O 0.2500 0.6853 0.7049
Se2 Se 0.2500 0.2030 0.9426
Ba1 Ba 0.2500 0.6723 0.3366
O3 O 0.2500 0.1189 0.3470
O4 O 0.7500 0.3147 0.2951
Be3 Be 0.0026 0.8566 0.7832
Be4 Be 0.5026 0.1434 0.2168
Ba2 Ba 0.7500 0.3277 0.6634